# MgZr2CdN (PBE, optimized geometry)
data_MgZr2CdN
_chemical_formula_sum 'Mg1 Zr2 Cd1 N1'
_space_group_name_H-M_alt 'P 1'
_space_group_IT_number 1
_space_group_name_Hall 'P 1'
_cell_length_a 4.5024
_cell_length_b 4.5024
_cell_length_c 4.4026
_cell_angle_alpha 90.00
_cell_angle_beta 90.00
_cell_angle_gamma 90.00
loop_
_atom_site_label
_atom_site_type_symbol
_atom_site_fract_x
_atom_site_fract_y
_atom_site_fract_z
Zr1 Zr 0.0000 0.5000 0.0000
Zr2 Zr 0.5000 0.0000 0.0000
N1 N 0.0000 0.0000 0.0000
Mg1 Mg 0.0000 0.0000 0.5000
Cd1 Cd 0.5000 0.5000 0.5000
# space group	No. 123
# magnetization	0.00	μB per cell
# formation energy (no corrections)	-636	meV per atom
# Fermi-level density of states	0.457	states/eV/atom